The following is a PBE calculation of a geometry-optimized TbCeGa4 structure, from the Alexandria database.

Calculated values
Density of states at the Fermi level ... 1.04 states/eV per atom
Formation energy ... -0.63 eV/atom
Distance to the lowest polymorph of the same formula ... 0.0 meV/atom
Calculated total energy ... -26.4 eV/cell

abc: 4.252 4.252 8.292
angles: 90.00 90.00 120.00
Each line ends with the local moment (μB).
Element x y z (fractional)
1 Tb 0.000 0.000 0.500  0.01
2 Ce 0.000 0.000 0.000  0.56
3 Ga 0.333 0.667 0.252  -0.01
4 Ga 0.333 0.667 0.748  -0.01
5 Ga 0.667 0.333 0.252  -0.01
6 Ga 0.667 0.333 0.748  -0.01